Computed, not measured: an optimized crystal structure of RbCdPtF6 at the PBE-GGA level of DFT.

Lattice parameters (Å, degrees): 5.822 5.833 5.899 90.67 90.77 117.05
Space group P1 (No. 1)
One atom of each set of equivalent atoms:
1 Rb 0.000 0.000 0.000 (multiplicity 1)
2 Cd 0.328 0.673 0.500 (multiplicity 1)
3 Pt 0.670 0.330 0.500 (multiplicity 1)
4 F 0.378 0.340 0.322 (multiplicity 1)
5 F 0.385 0.001 0.720 (multiplicity 1)
6 F 0.651 0.026 0.320 (multiplicity 1)
7 F 0.660 0.621 0.679 (multiplicity 1)
8 F 0.974 0.349 0.680 (multiplicity 1)
9 F 0.998 0.616 0.280 (multiplicity 1)

Summary:
Energy relative to the elements, uncorrected: -1897 meV per atom
Crystal system: triclinic

=====

Computed, not measured: an optimized crystal structure of SrCaIn6 at the PBE-GGA level of DFT.

Lattice parameters (Å, degrees): 5.494 7.127 11.336 90.00 90.00 90.00
Space group Amm2 (No. 38)
One atom of each set of equivalent atoms:
1 Sr 0.000 0.000 0.000 (multiplicity 2)
2 Ca 0.500 0.000 0.697 (multiplicity 2)
3 In 0.000 0.000 0.519 (multiplicity 2)
4 In 0.000 0.223 0.262 (multiplicity 4)
5 In 0.500 0.000 0.183 (multiplicity 2)
6 In 0.500 0.220 0.434 (multiplicity 4)

Summary:
E above lowest polymorph: 0.0 meV/atom
DFT formation energy: -0.301 eV per atom
Crystal system: orthorhombic

=====

Computed, not measured: an optimized crystal structure of NbTcAu2 at the PBE-GGA level of DFT.

Lattice parameters (Å, degrees): 3.802 3.802 20.080 90.00 90.00 90.00
Space group I-42d (No. 122)
One atom of each set of equivalent atoms:
1 Nb 0.000 0.000 0.000 (multiplicity 4)
2 Tc 0.000 0.000 0.500 (multiplicity 4)
3 Au 0.246 0.250 0.625 (multiplicity 8)

Summary:
E above lowest polymorph: 35.1 meV/atom
DFT formation energy: 0.377 eV per atom
Crystal system: tetragonal

=====

Computed, not measured: an optimized crystal structure of Pr3DyRh at the PBE-GGA level of DFT.

Lattice parameters (Å, degrees): 5.604 5.604 5.604 90.00 90.00 90.00
Space group Pm-3m (No. 221)
One atom of each set of equivalent atoms:
1 Pr 0.000 0.000 0.500 (multiplicity 3)
2 Dy 0.500 0.500 0.500 (multiplicity 1)
3 Rh 0.000 0.000 0.000 (multiplicity 1)

Summary:
DFT formation energy: -0.083 eV per atom
Crystal system: cubic

=====

Number 1: V 178 Å³/f.u.. Number 2: V 222 Å³/f.u.. Number 3: V 73 Å³/f.u.. Number 4: V 176 Å³/f.u..